1.
# CaLaTb2Nd6 (PBE, relaxed)
# **Magnetic moment**: 0.0 Bohr magnetons per cell
# **Energy of formation from the pure elements**: 12 kJ per mole of atoms
# **Uncorrected energy**: -174.1 eV for the cell shown
# **Density of states at the Fermi level**: 15.0 states/eV/f.u.
data_CaLaTb2Nd6
_symmetry_space_group_name_H-M 'C 1 2/c 1'
_symmetry_Int_Tables_number 15
_symmetry_space_group_name_Hall '-C 2yc'
_cell_length_a 9.287
_cell_length_b 15.566
_cell_length_c 9.983
_cell_angle_alpha 90.00
_cell_angle_beta 97.87
_cell_angle_gamma 90.00
loop_
_atom_site_label
_atom_site_type_symbol
_atom_site_fract_x
_atom_site_fract_y
_atom_site_fract_z
Ca1 Ca 0.000 0.097 0.250
La1 La 0.000 0.473 0.750
Tb1 Tb 0.249 0.449 0.045
Nd1 Nd 0.064 0.322 0.447
Nd2 Nd 0.101 0.106 0.621
Nd3 Nd 0.204 0.269 0.824


2.
# CaLaTbNd (PBE, relaxed)
# **Magnetic moment**: 0.0 Bohr magnetons per cell
# **Energy of formation from the pure elements**: 11 kJ per mole of atoms
# **Uncorrected energy**: -63.5 eV for the cell shown
# **Density of states at the Fermi level**: 6.8 states/eV/f.u.
data_CaLaTbNd
_symmetry_space_group_name_H-M 'F -4 3 m'
_symmetry_Int_Tables_number 216
_symmetry_space_group_name_Hall 'F -4 2 3'
_cell_length_a 8.338
_cell_length_b 8.338
_cell_length_c 8.338
_cell_angle_alpha 90.00
_cell_angle_beta 90.00
_cell_angle_gamma 90.00
loop_
_atom_site_label
_atom_site_type_symbol
_atom_site_fract_x
_atom_site_fract_y
_atom_site_fract_z
Ca1 Ca 0.000 0.000 0.000
La1 La 0.250 0.250 0.750
Tb1 Tb 0.000 0.000 0.500
Nd1 Nd 0.250 0.250 0.250